# 1
Here is a geometry-optimized Tc3Pt structure from Alexandria. Energies are from PBE.

a b c (Å): 2.7457 9.2080 2.7457
angles (deg): 98.57 60.00 98.57
Sites, in units of the cell vectors:
Pt: 0.0000 0.0000 0.0000
Tc: 0.2481 0.7442 0.2481
Tc: 0.5000 0.5000 0.5000
Tc: 0.7519 0.2558 0.7519

**Space-group type**: R-3m, No. 166
**Energy of formation**: -0.0233 eV per atom
**Polymorph energy (0 for the lowest one)**: 241 meV/atom
**V**: 59.2 Å³ per cell

# 2
Here is a geometry-optimized TcPt3 structure from Alexandria. Energies are from PBE.

a b c (Å): 2.7746 3.9491 5.5790
angles (deg): 90.00 90.00 90.00
Sites, in units of the cell vectors:
Tc: 0.5000 0.5000 0.2500
Pt: 0.0000 0.0000 0.0091
Pt: 0.0000 0.0000 0.4909
Pt: 0.5000 0.5000 0.7500

**Space-group type**: Pmmm, No. 47
**Energy of formation**: -0.1189 eV per atom
**V**: 61.1 Å³ per cell

# 3
Here is a geometry-optimized Tc3Pt2 structure from Alexandria. Energies are from PBE.

a b c (Å): 8.1794 7.1248 5.2668
angles (deg): 81.11 59.38 39.51
Sites, in units of the cell vectors:
Tc: 0.3334 0.4728 0.7406
Tc: 0.4532 0.7406 0.4728
Tc: 0.7772 0.9166 0.7968
Tc: 0.5094 0.7968 0.9166
Tc: 0.9429 0.0571 0.0571
Tc: 0.1929 0.3071 0.3071
Pt: 0.3676 0.5358 0.1938
Pt: 0.9029 0.1938 0.5358
Pt: 0.7142 0.8824 0.3471
Pt: 0.0562 0.3471 0.8824

**Space-group type**: Fdd2, No. 43
**Energy of formation**: -0.0232 eV per atom
**Polymorph energy (0 for the lowest one)**: 54 meV/atom
**V**: 151.3 Å³ per cell

# 4
Here is a geometry-optimized TcPt structure from Alexandria. Energies are from PBE.

a b c (Å): 4.9862 4.9862 4.9862
angles (deg): 90.00 90.00 90.00
Sites, in units of the cell vectors:
Tc: 0.0994 0.0994 0.0994
Tc: 0.4006 0.9006 0.5994
Tc: 0.9006 0.5994 0.4006
Tc: 0.5994 0.4006 0.9006
Pt: 0.4021 0.4021 0.4021
Pt: 0.0979 0.5979 0.9021
Pt: 0.5979 0.9021 0.0979
Pt: 0.9021 0.0979 0.5979

**Space-group type**: P2_13, No. 198
**Energy of formation**: 0.1192 eV per atom
**Polymorph energy (0 for the lowest one)**: 277 meV/atom
**V**: 124.0 Å³ per cell

# 5
Here is a geometry-optimized TcPt2 structure from Alexandria. Energies are from PBE.

a b c (Å): 4.8107 4.8107 4.5436
angles (deg): 90.00 90.00 119.93
Sites, in units of the cell vectors:
Pt: 0.5133 0.8389 0.2500
Pt: 0.4867 0.1611 0.7500
Pt: 0.8389 0.5133 0.2500
Pt: 0.1611 0.4867 0.7500
Tc: 0.1646 0.1646 0.2500
Tc: 0.8354 0.8354 0.7500

**Space-group type**: Cmcm, No. 63
**Energy of formation**: -0.1485 eV per atom
**Polymorph energy (0 for the lowest one)**: 44 meV/atom
**V**: 91.1 Å³ per cell

# 6
Here is a geometry-optimized Tc3Pt structure from Alexandria. Energies are from PBE.

a b c (Å): 4.8707 4.8707 4.8707
angles (deg): 90.00 90.00 90.00
Sites, in units of the cell vectors:
Pt: 0.0000 0.0000 0.0000
Tc: 0.5000 0.0000 0.0000
Tc: 0.0000 0.5000 0.0000
Tc: 0.0000 0.0000 0.5000

**Space-group type**: Pm-3m, No. 221
**Energy of formation**: 2.7585 eV per atom
**Polymorph energy (0 for the lowest one)**: 3022 meV/atom
**V**: 115.5 Å³ per cell

# 7
Here is a geometry-optimized TcPt3 structure from Alexandria. Energies are from PBE.

a b c (Å): 4.4717 4.4717 4.4717
angles (deg): 60.00 60.00 60.00
Sites, in units of the cell vectors:
Pt: 0.0000 0.0000 0.0000
Pt: 0.5000 0.5000 0.5000
Pt: 0.2500 0.2500 0.2500
Tc: 0.7500 0.7500 0.7500

**Space-group type**: Fm-3m, No. 225
**Energy of formation**: 0.1621 eV per atom
**V**: 63.2 Å³ per cell

# 8
Here is a geometry-optimized TcPt structure from Alexandria. Energies are from PBE.

a b c (Å): 2.7612 9.2770 2.7612
angles (deg): 98.56 60.00 98.56
Sites, in units of the cell vectors:
Pt: 0.0025 0.0074 0.0025
Pt: 0.2475 0.7426 0.2475
Tc: 0.4969 0.4908 0.4969
Tc: 0.7531 0.2592 0.7531

**Space-group type**: R-3m, No. 166
**Energy of formation**: -0.1004 eV per atom
**Polymorph energy (0 for the lowest one)**: 57 meV/atom
**V**: 60.3 Å³ per cell

# 9
Here is a geometry-optimized Tc3Pt structure from Alexandria. Energies are from PBE.

a b c (Å): 2.7400 3.9236 6.1643
angles (deg): 90.00 63.53 90.00
Sites, in units of the cell vectors:
Pt: 0.0000 0.0000 0.0000
Tc: 0.7704 0.5000 0.7299
Tc: 0.5000 0.0000 0.5000
Tc: 0.2296 0.5000 0.2701

**Space-group type**: P2/m, No. 10
**Energy of formation**: -0.0825 eV per atom
**Polymorph energy (0 for the lowest one)**: 181 meV/atom
**V**: 59.3 Å³ per cell

# 10
Here is a geometry-optimized TcPt3 structure from Alexandria. Energies are from PBE.

a b c (Å): 5.2240 5.2240 4.8084
angles (deg): 90.00 90.00 90.13
Sites, in units of the cell vectors:
Tc: 0.3956 0.3956 0.2500
Tc: 0.6044 0.6044 0.7500
Pt: 0.9552 0.9552 0.7500
Pt: 0.0448 0.0448 0.2500
Pt: 0.1109 0.4669 0.7500
Pt: 0.8891 0.5331 0.2500
Pt: 0.4669 0.1109 0.7500
Pt: 0.5331 0.8891 0.2500

**Space-group type**: Cmcm, No. 63
**Energy of formation**: 0.1423 eV per atom
**V**: 131.2 Å³ per cell

# 11
Here is a geometry-optimized TcPt2 structure from Alexandria. Energies are from PBE.

a b c (Å): 2.7779 2.7779 6.8379
angles (deg): 90.00 90.00 120.00
Sites, in units of the cell vectors:
Tc: 0.6667 0.3333 0.3333
Pt: 0.0000 0.0000 0.0105
Pt: 0.3333 0.6667 0.6561

**Space-group type**: P-3m1, No. 164
**Energy of formation**: -0.1054 eV per atom
**Polymorph energy (0 for the lowest one)**: 87 meV/atom
**V**: 45.7 Å³ per cell

# 12
Here is a geometry-optimized Tc5Pt structure from Alexandria. Energies are from PBE.

a b c (Å): 5.0665 5.0665 5.0665
angles (deg): 60.00 60.00 60.00
Sites, in units of the cell vectors:
Tc: 0.8778 0.3741 0.3741
Tc: 0.7500 0.7500 0.7500
Tc: 0.3741 0.8778 0.3741
Tc: 0.3741 0.3741 0.3741
Tc: 0.3741 0.3741 0.8778
Pt: 0.0000 0.0000 0.0000

**Space-group type**: F-43m, No. 216
**Energy of formation**: 0.2489 eV per atom
**Polymorph energy (0 for the lowest one)**: 373 meV/atom
**V**: 92.0 Å³ per cell

# 13
Here is a geometry-optimized TcPt3 structure from Alexandria. Energies are from PBE.

a b c (Å): 9.3020 2.7810 2.7810
angles (deg): 60.00 98.60 98.60
Sites, in units of the cell vectors:
Tc: 0.2500 0.7500 0.7500
Pt: 0.0102 0.0034 0.0034
Pt: 0.7500 0.2500 0.2500
Pt: 0.4898 0.4966 0.4966

**Space-group type**: R-3m, No. 166
**Energy of formation**: -0.1036 eV per atom
**V**: 61.4 Å³ per cell

# 14
Here is a geometry-optimized Tc3Pt5 structure from Alexandria. Energies are from PBE.

a b c (Å): 7.6426 7.6709 5.0419
angles (deg): 90.00 90.00 60.11
Sites, in units of the cell vectors:
Tc: 0.6213 0.3953 0.7500
Tc: 0.4945 0.5380 0.2500
Tc: 0.3863 0.0580 0.7500
Tc: 0.9834 0.3953 0.2500
Tc: 0.5558 0.0580 0.2500
Tc: 0.9675 0.5379 0.7500
Pt: 0.8199 0.1652 0.2500
Pt: 0.2409 0.7510 0.7500
Pt: 0.2331 0.9763 0.2500
Pt: 0.0149 0.1652 0.7500
Pt: 0.6379 0.7241 0.0000
Pt: 0.6379 0.7241 0.5000
Pt: 0.3040 0.3920 0.0000
Pt: 0.3040 0.3920 0.5000
Pt: 0.7908 0.9762 0.7500
Pt: 0.0082 0.7510 0.2500

**Space-group type**: Ama2, No. 40
**Energy of formation**: 0.1962 eV per atom
**Polymorph energy (0 for the lowest one)**: 324 meV/atom
**V**: 256.3 Å³ per cell

# 15
Here is a geometry-optimized Tc5Pt structure from Alexandria. Energies are from PBE.

a b c (Å): 2.7667 7.3548 4.3969
angles (deg): 90.00 90.00 79.16
Sites, in units of the cell vectors:
Pt: 0.0011 0.9977 0.0000
Tc: 0.2233 0.5533 0.5000
Tc: 0.3310 0.3379 0.0000
Tc: 0.5575 0.8849 0.5000
Tc: 0.6671 0.6658 0.0000
Tc: 0.8865 0.2269 0.5000

**Space-group type**: Amm2, No. 38
**Energy of formation**: -0.1022 eV per atom
**Polymorph energy (0 for the lowest one)**: 22 meV/atom
**V**: 87.9 Å³ per cell

# 16
Here is a geometry-optimized TcPt structure from Alexandria. Energies are from PBE.

a b c (Å): 2.7768 2.7768 4.4875
angles (deg): 90.00 90.00 120.00
Sites, in units of the cell vectors:
Tc: 0.6667 0.3333 0.0000
Pt: 0.0000 0.0000 0.5000

**Space-group type**: P-6m2, No. 187
**Energy of formation**: -0.0635 eV per atom
**Polymorph energy (0 for the lowest one)**: 94 meV/atom
**V**: 30.0 Å³ per cell

# 17
Here is a geometry-optimized Tc3Pt structure from Alexandria. Energies are from PBE.

a b c (Å): 4.7739 8.8934 5.5449
angles (deg): 90.00 90.00 90.00
Sites, in units of the cell vectors:
Tc: 0.9119 0.2500 0.8768
Tc: 0.2505 0.9954 0.3668
Tc: 0.2505 0.5046 0.3668
Tc: 0.2495 0.4954 0.8668
Tc: 0.2495 0.0046 0.8668
Tc: 0.5881 0.7500 0.3768
Tc: 0.4119 0.2500 0.6232
Tc: 0.7504 0.9954 0.1332
Tc: 0.7504 0.5046 0.1332
Tc: 0.7496 0.4954 0.6332
Tc: 0.7496 0.0046 0.6332
Tc: 0.0881 0.7500 0.1232
Pt: 0.0835 0.7500 0.6214
Pt: 0.4165 0.2500 0.1214
Pt: 0.5835 0.7500 0.8786
Pt: 0.9165 0.2500 0.3786

**Space-group type**: Pnma, No. 62
**Energy of formation**: -0.1029 eV per atom
**Polymorph energy (0 for the lowest one)**: 161 meV/atom
**V**: 235.4 Å³ per cell

# 18
Here is a geometry-optimized TcPt structure from Alexandria. Energies are from PBE.

a b c (Å): 2.7865 2.7865 8.9655
angles (deg): 90.00 90.00 120.00
Sites, in units of the cell vectors:
Tc: 0.0000 0.0000 0.5096
Tc: 0.3333 0.6667 0.7404
Pt: 0.0000 0.0000 0.9894
Pt: 0.3333 0.6667 0.2606

**Space-group type**: P-3m1, No. 164
**Energy of formation**: -0.1561 eV per atom
**Polymorph energy (0 for the lowest one)**: 2 meV/atom
**V**: 60.3 Å³ per cell

# 19
Here is a geometry-optimized TcPt2 structure from Alexandria. Energies are from PBE.

a b c (Å): 2.7762 5.3605 6.5771
angles (deg): 75.40 90.00 105.01
Sites, in units of the cell vectors:
Pt: 0.0077 0.0154 0.9929
Pt: 0.3812 0.7624 0.7293
Pt: 0.0602 0.1204 0.3916
Pt: 0.3287 0.6574 0.3307
Tc: 0.6703 0.3405 0.6699
Tc: 0.7186 0.4372 0.0523

**Space-group type**: C2/m, No. 12
**Energy of formation**: -0.1502 eV per atom
**Polymorph energy (0 for the lowest one)**: 42 meV/atom
**V**: 91.3 Å³ per cell

# 20
Here is a geometry-optimized TcPt structure from Alexandria. Energies are from PBE.

a b c (Å): 4.7252 4.7252 4.7252
angles (deg): 54.31 54.31 54.31
Sites, in units of the cell vectors:
Pt: 0.1122 0.1122 0.1122
Pt: 0.8878 0.8878 0.8878
Tc: 0.3339 0.3339 0.3339
Tc: 0.6661 0.6661 0.6661

**Space-group type**: R-3m, No. 166
**Energy of formation**: 0.1200 eV per atom
**Polymorph energy (0 for the lowest one)**: 278 meV/atom
**V**: 64.7 Å³ per cell

# 21
Here is a geometry-optimized TcPt2 structure from Alexandria. Energies are from PBE.

a b c (Å): 7.6295 7.6295 2.7421
angles (deg): 90.00 90.00 120.00
Sites, in units of the cell vectors:
Tc: 0.0000 0.0000 0.5000
Tc: 0.3333 0.6667 0.0000
Tc: 0.6667 0.3333 0.0000
Pt: 0.0000 0.2993 0.0000
Pt: 0.0000 0.6326 0.5000
Pt: 0.2993 0.0000 0.0000
Pt: 0.7007 0.7007 0.0000
Pt: 0.6326 0.0000 0.5000
Pt: 0.3674 0.3674 0.5000

**Space-group type**: P-62m, No. 189
**Energy of formation**: -0.0427 eV per atom
**Polymorph energy (0 for the lowest one)**: 150 meV/atom
**V**: 138.2 Å³ per cell

# 22
Here is a geometry-optimized Tc2Pt structure from Alexandria. Energies are from PBE.

a b c (Å): 5.0918 5.0918 5.0918
angles (deg): 60.00 60.00 60.00
Sites, in units of the cell vectors:
Tc: 0.6250 0.6250 0.6250
Tc: 0.1250 0.6250 0.6250
Tc: 0.6250 0.1250 0.6250
Tc: 0.6250 0.6250 0.1250
Pt: 0.0000 0.0000 0.0000
Pt: 0.2500 0.2500 0.2500

**Space-group type**: Fd-3m, No. 227
**Energy of formation**: 0.2917 eV per atom
**Polymorph energy (0 for the lowest one)**: 502 meV/atom
**V**: 93.3 Å³ per cell

# 23
Here is a geometry-optimized TcPt4 structure from Alexandria. Energies are from PBE.

a b c (Å): 3.9279 4.8364 4.8364
angles (deg): 99.49 113.96 66.04
Sites, in units of the cell vectors:
Pt: 0.7958 0.8069 0.3985
Pt: 0.2042 0.1931 0.6015
Pt: 0.6027 0.6015 0.8069
Pt: 0.3973 0.3985 0.1931
Tc: 0.0000 0.0000 0.0000

**Space-group type**: I4/m, No. 87
**Energy of formation**: -0.1272 eV per atom
**Polymorph energy (0 for the lowest one)**: 0 meV/atom
**V**: 76.7 Å³ per cell

# 24
Here is a geometry-optimized Tc2Pt structure from Alexandria. Energies are from PBE.

a b c (Å): 3.2744 4.8515 3.2744
angles (deg): 70.28 90.00 109.72
Sites, in units of the cell vectors:
Pt: 0.0000 0.0000 0.0000
Tc: 0.3213 0.6425 0.6787
Tc: 0.6787 0.3575 0.3213

**Space-group type**: I4/mmm, No. 139
**Energy of formation**: 0.1240 eV per atom
**Polymorph energy (0 for the lowest one)**: 334 meV/atom
**V**: 45.7 Å³ per cell

# 25
Here is a geometry-optimized Tc5Pt4 structure from Alexandria. Energies are from PBE.

a b c (Å): 3.9093 6.1795 6.1795
angles (deg): 95.74 108.44 71.56
Sites, in units of the cell vectors:
Pt: 0.0000 0.3262 0.3262
Pt: 0.0000 0.6738 0.6738
Pt: 0.3262 0.6738 0.3262
Pt: 0.6738 0.3262 0.6738
Tc: 0.0000 0.0000 0.0000
Tc: 0.3398 0.0000 0.6797
Tc: 0.3398 0.3203 0.0000
Tc: 0.6602 0.6797 0.0000
Tc: 0.6602 0.0000 0.3203

**Space-group type**: I4/mmm, No. 139
**Energy of formation**: -0.1976 eV per atom
**Polymorph energy (0 for the lowest one)**: 0 meV/atom
**V**: 134.3 Å³ per cell

# 26
Here is a geometry-optimized Tc5Pt structure from Alexandria. Energies are from PBE.

a b c (Å): 3.9018 3.9037 6.1058
angles (deg): 108.64 90.00 90.00
Sites, in units of the cell vectors:
Tc: 0.0000 0.6679 0.3358
Tc: 0.0000 0.3321 0.6642
Tc: 0.5000 0.5000 0.0000
Tc: 0.5000 0.1682 0.3363
Tc: 0.5000 0.8318 0.6637
Pt: 0.0000 0.0000 0.0000

**Space-group type**: Cmmm, No. 65
**Energy of formation**: -0.0399 eV per atom
**Polymorph energy (0 for the lowest one)**: 85 meV/atom
**V**: 88.1 Å³ per cell

# 27
Here is a geometry-optimized TcPt structure from Alexandria. Energies are from PBE.

a b c (Å): 3.1374 3.1374 3.1374
angles (deg): 90.00 90.00 90.00
Sites, in units of the cell vectors:
Pt: 0.0000 0.0000 0.0000
Tc: 0.5000 0.5000 0.5000

**Space-group type**: Pm-3m, No. 221
**Energy of formation**: 0.3401 eV per atom
**Polymorph energy (0 for the lowest one)**: 498 meV/atom
**V**: 30.9 Å³ per cell